Compound: RbNaSnBi
Source: Alexandria via LeMat-Bulk
Functional: PBE
Structure: relaxed

The total magnetization comes out at 0.00 Bohr magnetons per cell.

abc: 8.1882 8.1882 8.1882
angles: 90.00 90.00 90.00
Space group F-43m (No. 216)
Inequivalent atoms, fractional coordinates:
Rb1 0.0000 0.0000 0.0000 x4
Na1 0.2500 0.2500 0.2500 x4
Sn1 0.2500 0.2500 0.7500 x4
Bi1 0.0000 0.0000 0.5000 x4


Compound: RbNa2SrBi
Source: Alexandria via LeMat-Bulk
Functional: PBE
Structure: relaxed

The total magnetization comes out at 0.00 Bohr magnetons per cell.

abc: 6.3181 6.3181 6.5418
angles: 90.00 90.00 90.00
Space group P4/mmm (No. 123)
Inequivalent atoms, fractional coordinates:
Rb1 0.0000 0.0000 0.0000 x1
Na1 0.0000 0.5000 0.5000 x2
Sr1 0.5000 0.5000 0.0000 x1
Bi1 0.5000 0.5000 0.5000 x1


Compound: RbNa2Sr2Bi2
Source: Alexandria via LeMat-Bulk
Functional: PBE
Structure: relaxed

The total magnetization comes out at 2.17 Bohr magnetons per cell.

abc: 5.5614 5.5614 32.5642
angles: 90.00 90.00 120.00
Space group R-3m (No. 166, hexagonal axes)
Inequivalent atoms, fractional coordinates:
Rb1 0.0000 0.0000 0.0000 x3
Na1 0.0000 0.0000 0.4115 x6
Sr1 0.0000 0.0000 0.1320 x6
Bi1 0.0000 0.0000 0.2436 x6


Compound: Rb2Na3Tl12Bi
Source: Alexandria via LeMat-Bulk
Functional: PBE
Structure: relaxed

The total magnetization comes out at 0.00 Bohr magnetons per cell.

abc: 8.0758 8.0758 35.6271
angles: 90.00 90.00 120.00
Space group R-3m (No. 166, hexagonal axes)
Inequivalent atoms, fractional coordinates:
Rb1 0.0000 0.0000 0.1515 x6
Na1 0.0000 0.5000 0.0000 x9
Tl1 0.0459 0.5230 0.0944 x18
Tl2 0.0735 0.5367 0.6179 x18
Bi1 0.0000 0.0000 0.5000 x3


Compound: RbNaTl2Bi
Source: Alexandria via LeMat-Bulk
Functional: PBE
Structure: relaxed

The total magnetization comes out at 0.00 Bohr magnetons per cell.

abc: 4.9472 5.5289 13.6819
angles: 90.00 90.00 90.00
Space group Imm2 (No. 44)
Inequivalent atoms, fractional coordinates:
Rb1 0.0000 0.0000 0.0000 x2
Na1 0.0000 0.5000 0.7332 x2
Tl1 0.0000 0.0000 0.3865 x2
Tl2 0.0000 0.5000 0.2595 x2
Bi1 0.0000 0.0000 0.6102 x2


Compound: Rb2NaTl4Bi3
Source: Alexandria via LeMat-Bulk
Functional: PBE
Structure: relaxed

The total magnetization comes out at 0.00 Bohr magnetons per cell.

abc: 5.2303 5.2303 14.2246
angles: 90.00 90.00 90.00
Space group P-4m2 (No. 115)
Inequivalent atoms, fractional coordinates:
Rb1 0.0000 0.5000 0.2373 x2
Na1 0.0000 0.0000 0.5000 x1
Tl1 0.0000 0.0000 0.0000 x1
Tl2 0.0000 0.5000 0.6377 x2
Tl3 0.5000 0.5000 0.0000 x1
Bi1 0.0000 0.5000 0.8665 x2
Bi2 0.5000 0.5000 0.5000 x1


The calculation returns the following uncorrected energy values, one per record and in order: -10.676; -10.223; -18.284; -38.203; -11.827; -26.064 eV/f.u..
The calculation returns the following ΔH_f (0 K) values, one per record and in order: -0.126; -0.211; -0.508; -0.002; -0.185; -0.170 eV/atom.